Entry from Alexandria via LeMat-Bulk: crystalline Sc5CoHg at its relaxed geometry (PBE-GGA).

```
data_Sc5CoHg
_cell_length_a 8.316
_cell_length_b 6.756
_cell_length_c 11.101
_cell_angle_alpha 90.00
_cell_angle_beta 105.21
_cell_angle_gamma 90.00
_space_group_name_H-M_alt 'C 1 2/c 1'
_space_group_IT_number 15
loop_
_space_group_symop_operation_xyz
'x,y,z'
'-x,-y,-z'
'-x,y,-z+1/2'
'x,-y,z+1/2'
'x+1/2,y+1/2,z'
'-x+1/2,-y+1/2,-z'
'-x+1/2,y+1/2,-z+1/2'
'x+1/2,-y+1/2,z+1/2'
loop_
_atom_site_label
_atom_site_type_symbol
_atom_site_fract_x
_atom_site_fract_y
_atom_site_fract_z
Sc1 Sc 0.000 0.013 0.250
Sc2 Sc 0.129 0.333 0.070
Sc3 Sc 0.244 0.166 0.621
Co1 Co 0.000 0.000 0.000
Hg1 Hg 0.000 0.404 0.750
```

## Properties
The formation energy comes out at -0.13 eV/atom. As for the crystal system: monoclinic.